(1)
# YFeCu2 (GGA-PBEsol, optimized geometry)
data_YFeCu2
_space_group_name_H-M_alt 'I m m m'
_space_group_IT_number 71
_space_group_name_Hall '-I 2 2'
_cell_length_a 3.718
_cell_length_b 3.959
_cell_length_c 8.058
_cell_angle_alpha 90.00
_cell_angle_beta 90.00
_cell_angle_gamma 90.00
loop_
_atom_site_label
_atom_site_fract_x
_atom_site_fract_y
_atom_site_fract_z
_atom_site_occupancy
Y1 0.000 0.000 0.000 1
Fe1 0.000 0.000 0.500 1
Cu1 0.000 0.500 0.243 1
# DOS(E_F) ... 0.9241 states/eV per atom
# Magnetic moment ... 3.36 Bohr magnetons per cell

(2)
# La2YTl (GGA-PBEsol, optimized geometry)
data_La2YTl
_space_group_name_H-M_alt 'I m m 2'
_space_group_IT_number 44
_cell_length_a 3.895
_cell_length_b 5.568
_cell_length_c 11.559
_cell_angle_alpha 90.00
_cell_angle_beta 90.00
_cell_angle_gamma 90.00
loop_
_space_group_symop_operation_xyz
'x,y,z'
'-x,-y,z'
'-x,y,z'
'x,-y,z'
'x+1/2,y+1/2,z+1/2'
'-x+1/2,-y+1/2,z+1/2'
'-x+1/2,y+1/2,z+1/2'
'x+1/2,-y+1/2,z+1/2'
loop_
_atom_site_label
_atom_site_fract_x
_atom_site_fract_y
_atom_site_fract_z
_atom_site_occupancy
La1 0.000 0.000 0.000 1
La2 0.000 0.500 0.220 1
Y1 0.000 0.500 0.776 1
Tl1 0.000 0.000 0.487 1
# DOS(E_F) ... 1.2277 states/eV per atom
# E above lowest polymorph ... 43.4 meV/atom
# Magnetic moment ... 0.00 Bohr magnetons per cell

(3)
# KLiW3O9 (GGA-PBEsol, optimized geometry)
data_KLiW3O9
_space_group_name_H-M_alt 'A m a 2'
_space_group_IT_number 40
_cell_length_a 7.701
_cell_length_b 12.816
_cell_length_c 7.514
_cell_angle_alpha 90.00
_cell_angle_beta 90.00
_cell_angle_gamma 90.00
loop_
_space_group_symop_operation_xyz
'x,y,z'
'-x,-y,z'
'-x+1/2,y,z'
'x+1/2,-y,z'
'x,y+1/2,z+1/2'
'-x,-y+1/2,z+1/2'
'-x+1/2,y+1/2,z+1/2'
'x+1/2,-y+1/2,z+1/2'
loop_
_atom_site_label
_atom_site_fract_x
_atom_site_fract_y
_atom_site_fract_z
_atom_site_occupancy
K1 0.250 0.021 0.000 1
Li1 0.250 0.181 0.587 1
W1 0.000 0.000 0.589 1
W2 0.001 0.251 0.339 1
O1 0.016 0.285 0.593 1
O2 0.021 0.392 0.919 1
O3 0.022 0.397 0.280 1
O4 0.250 0.023 0.594 1
O5 0.250 0.231 0.843 1
O6 0.250 0.234 0.337 1
# DOS(E_F) ... 0.2876 states/eV per atom
# Energy relative to the elements, uncorrected ... -208 kJ per mole of atoms
# Magnetic moment ... 0.00 Bohr magnetons per cell

(4)
# K3SmCl6 (GGA-PBEsol, optimized geometry)
data_K3SmCl6
_space_group_name_H-M_alt 'F m -3 m'
_space_group_IT_number 225
_space_group_name_Hall '-F 4 2 3'
_cell_length_a 11.126
_cell_length_b 11.126
_cell_length_c 11.126
_cell_angle_alpha 90.00
_cell_angle_beta 90.00
_cell_angle_gamma 90.00
loop_
_atom_site_label
_atom_site_fract_x
_atom_site_fract_y
_atom_site_fract_z
_atom_site_occupancy
K1 0.000 0.000 0.000 1
K2 0.250 0.250 0.250 1
Sm1 0.000 0.000 0.500 1
Cl1 0.000 0.000 0.262 1
# DOS(E_F) ... 0.0000 states/eV per atom
# Energy relative to the elements, uncorrected ... -194 kJ per mole of atoms
# Magnetic moment ... 0.00 Bohr magnetons per cell

(5)
# Co2PClO4 (GGA-PBEsol, optimized geometry)
data_Co2PClO4
_space_group_name_H-M_alt 'C 1 2/c 1'
_space_group_IT_number 15
_cell_length_a 13.159
_cell_length_b 9.059
_cell_length_c 9.173
_cell_angle_alpha 90.00
_cell_angle_beta 132.86
_cell_angle_gamma 90.00
loop_
_space_group_symop_operation_xyz
'x,y,z'
'-x,-y,-z'
'-x,y,-z+1/2'
'x,-y,z+1/2'
'x+1/2,y+1/2,z'
'-x+1/2,-y+1/2,-z'
'-x+1/2,y+1/2,-z+1/2'
'x+1/2,-y+1/2,z+1/2'
loop_
_atom_site_label
_atom_site_fract_x
_atom_site_fract_y
_atom_site_fract_z
_atom_site_occupancy
Co1 0.000 0.000 0.000 1
Co2 0.000 0.260 0.250 1
Co3 0.173 0.255 0.170 1
P1 0.241 0.003 0.492 1
Cl1 0.085 0.252 0.577 1
O1 0.131 0.094 0.293 1
O2 0.152 0.077 0.022 1
O3 0.157 0.388 0.331 1
O4 0.176 0.400 0.022 1
# DOS(E_F) ... 0.7685 states/eV per atom
# Energy relative to the elements, uncorrected ... -127 kJ per mole of atoms
# Magnetic moment ... 48.02 Bohr magnetons per cell

(6)
# HfScAl2Mo (GGA-PBEsol, optimized geometry)
data_HfScAl2Mo
_space_group_name_H-M_alt 'P 4/m m m'
_space_group_IT_number 123
_space_group_name_Hall '-P 4 2'
_cell_length_a 5.007
_cell_length_b 5.007
_cell_length_c 4.690
_cell_angle_alpha 90.00
_cell_angle_beta 90.00
_cell_angle_gamma 90.00
loop_
_atom_site_label
_atom_site_fract_x
_atom_site_fract_y
_atom_site_fract_z
_atom_site_occupancy
Hf1 0.000 0.000 0.000 1
Sc1 0.000 0.000 0.500 1
Al1 0.000 0.500 0.000 1
Mo1 0.500 0.500 0.500 1
# DOS(E_F) ... 1.0891 states/eV per atom
# Magnetic moment ... 2.96 Bohr magnetons per cell

no.,E (eV/atom)
1,-5.97
2,-5.25
3,-8.71
4,-4.07
5,-6.85
6,-5.81